# SrVRhO6, optimized geometry, DFT PBE+U
# Total DFT energy (no corrections) = -6.7727 eV/atom
# Density of states at the Fermi level = 3.0 states/eV/f.u.
# Space group = No. 149
data_SrVRhO6
_symmetry_space_group_name_H-M 'P 1'
_symmetry_Int_Tables_number 1
_symmetry_space_group_name_Hall 'P 1'
_cell_length_a 5.1758
_cell_length_b 5.1757
_cell_length_c 5.3913
_cell_angle_alpha 90.00
_cell_angle_beta 90.00
_cell_angle_gamma 60.00
loop_
_atom_site_label
_atom_site_type_symbol
_atom_site_fract_x
_atom_site_fract_y
_atom_site_fract_z
V1 V 0.6666 0.6667 0.5000
O1 O 0.6284 0.9892 0.3032
O2 O 0.9892 0.6284 0.6968
O3 O 0.6284 0.3824 0.6968
O4 O 0.9892 0.3824 0.3032
O5 O 0.3823 0.9892 0.6968
O6 O 0.3824 0.6284 0.3032
Sr1 Sr 0.0000 0.0000 0.0000
Rh1 Rh 0.3333 0.3333 0.5000

***

# SrV2RhO8, optimized geometry, DFT PBE+U
# Total DFT energy (no corrections) = -7.0626 eV/atom
# Density of states at the Fermi level = 6.7 states/eV/f.u.
# Space group = No. 164
data_SrV2RhO8
_symmetry_space_group_name_H-M 'P 1'
_symmetry_Int_Tables_number 1
_symmetry_space_group_name_Hall 'P 1'
_cell_length_a 5.6040
_cell_length_b 5.6040
_cell_length_c 6.7867
_cell_angle_alpha 90.00
_cell_angle_beta 90.00
_cell_angle_gamma 120.00
loop_
_atom_site_label
_atom_site_type_symbol
_atom_site_fract_x
_atom_site_fract_y
_atom_site_fract_z
Sr1 Sr 0.0000 0.0000 0.5000
V1 V 0.6667 0.3333 0.2539
V2 V 0.3333 0.6667 0.7461
O1 O 0.3333 0.6667 0.4996
O2 O 0.8411 0.1589 0.1820
O3 O 0.3178 0.1589 0.1820
O4 O 0.1589 0.8411 0.8180
O5 O 0.6822 0.8411 0.8180
O6 O 0.1589 0.3178 0.8180
O7 O 0.6667 0.3333 0.5004
O8 O 0.8411 0.6822 0.1820
Rh1 Rh 0.0000 0.0000 0.0000

***

# Sr3V2RhO9, optimized geometry, DFT PBE+U
# Total DFT energy (no corrections) = -6.9871 eV/atom
# Density of states at the Fermi level = 3.7 states/eV/f.u.
# Space group = No. 164
data_Sr3V2RhO9
_symmetry_space_group_name_H-M 'P 1'
_symmetry_Int_Tables_number 1
_symmetry_space_group_name_Hall 'P 1'
_cell_length_a 5.5519
_cell_length_b 5.5519
_cell_length_c 6.7788
_cell_angle_alpha 90.00
_cell_angle_beta 90.00
_cell_angle_gamma 120.00
loop_
_atom_site_label
_atom_site_type_symbol
_atom_site_fract_x
_atom_site_fract_y
_atom_site_fract_z
O1 O 0.8302 0.6605 0.6749
O2 O 0.1698 0.3395 0.3251
O3 O 0.8302 0.1698 0.6749
O4 O 0.5000 0.5000 0.0000
O5 O 0.5000 0.0000 0.0000
O6 O 0.3395 0.1698 0.6749
O7 O 0.1698 0.8302 0.3251
O8 O 0.6605 0.8302 0.3251
O9 O 0.0000 0.5000 0.0000
Sr1 Sr 0.6667 0.3333 0.3326
Sr2 Sr 0.0000 0.0000 0.0000
Sr3 Sr 0.3333 0.6667 0.6674
Rh1 Rh 0.0000 0.0000 0.5000
V1 V 0.3333 0.6667 0.1679
V2 V 0.6667 0.3333 0.8321